First-principles (PBE) data for a geometry-optimized La8AlRh2 structure, as listed in Alexandria via LeMat-Bulk.

Lattice parameters (Å, degrees): 8.3727 8.3727 5.7054 98.51 98.51 116.39
With the nearest neighbours (Å) after each atom.
Atoms (fractional coordinates):
La: 0.0000 0.0000 0.0000  4 La 3.24-3.53, 1 Al 3.33, 2 Rh 3.55
La: 0.0623 0.3035 0.6327  2 Rh 2.92-3.00
La: 0.1488 0.6327 0.1884  2 Rh 2.91
La: 0.3035 0.0623 0.6327  2 Rh 2.92-3.00
La: 0.4814 0.7223 0.7431  2 Rh 2.92-3.01
La: 0.6327 0.1488 0.1884  2 Rh 2.91
La: 0.7223 0.4814 0.7431  2 Rh 2.92-3.01
La: 0.7852 0.7852 0.3769  4 La 3.24-3.53, 1 Al 3.33, 2 Rh 3.56
Al: 0.3925 0.3925 0.1881  8 La 3.33-3.62
Rh: 0.1105 0.6762 0.6895  6 La 2.91-3.01
Rh: 0.6762 0.1105 0.6895  6 La 2.91-3.01

Values from the calculation:
Its total energy is -5.56 eV per atom. The formation enthalpy at 0 K is -0.295 eV/atom.